The following is a DFT calculation (meta-GGA SCAN) of a crystal of ThSe2O6 relaxed with PBEsol.

Geometry as extended XYZ:
```
36
Lattice="7.174 0.095 0.000 -2.147 6.973 0.000 0.000 0.000 10.901" Properties=species:S:1:pos:R:3 pbc="T T T"
O 3.010 4.132 4.358
O 3.131 4.964 8.104
O 4.798 0.870 3.127
O 1.897 2.104 2.797
Th 0.679 3.423 4.404
O 4.890 2.759 8.578
O 0.138 4.309 2.324
Se 0.840 3.930 0.794
O 2.685 2.290 9.934
O -0.467 3.226 6.606
Th 1.835 0.111 9.854
O 4.555 1.494 5.692
O 5.199 5.824 6.418
O 5.133 2.135 0.241
O 2.981 0.308 1.156
O 5.494 3.842 4.295
O 4.411 5.639 2.654
O -0.171 1.244 4.483
Se -0.473 6.578 6.245
Se 4.187 3.139 10.107
O 0.617 1.430 8.248
O -0.106 4.933 10.660
Se 0.792 3.056 7.799
Se 3.306 6.590 8.553
O 4.531 6.470 9.809
Th 3.193 6.958 1.047
Se 1.722 0.478 2.348
O 2.047 6.760 9.746
Se 5.501 0.491 4.656
Th 4.348 3.645 6.498
O 0.229 6.198 7.774
O 0.472 5.574 5.210
O 2.017 2.936 6.543
Se 4.235 4.012 3.102
O 2.342 4.778 0.967
O 0.496 0.598 1.093
```

The formation energy (no corrections) is -2.006 eV per atom. As for the total magnetization: 0.000 μB/f.u.

---

The following is a DFT calculation (meta-GGA SCAN) of a crystal of ScTi3Si relaxed with PBEsol.

Geometry as extended XYZ:
```
5
Lattice="-0.037 2.871 -3.457 -4.154 1.297 1.121 1.713 3.205 2.643" Properties=species:S:1:pos:R:3 pbc="T T T"
Sc 0.000 0.000 0.000
Ti -0.018 1.435 -1.729
Ti 0.857 1.603 1.322
Si -1.239 3.686 0.153
Ti -2.077 0.648 0.560
```

The formation energy (no corrections) is 1.319 eV per atom. As for the total magnetization: 2.455 μB/f.u.

---

The following is a DFT calculation (meta-GGA SCAN) of a crystal of InCo2As relaxed with PBEsol.

Geometry as extended XYZ:
```
4
Lattice="3.065 0.000 0.000 0.000 4.226 0.145 0.000 -0.149 4.226" Properties=species:S:1:pos:R:3 pbc="T T T"
As 1.533 2.038 2.185
Co 0.000 -0.074 2.113
In 1.533 0.000 0.000
Co 0.000 2.113 0.072
```

For the formation energy, the calculation gives 1.03 eV per formula unit. As for the total magnetization: 2.070 μB/f.u.

---

The following is a DFT calculation (meta-GGA SCAN) of a crystal of Na2TcBr relaxed with PBEsol.

Geometry as extended XYZ:
```
8
Lattice="5.254 0.000 0.000 2.627 5.848 0.000 2.627 0.000 5.848" Properties=species:S:1:pos:R:3 pbc="T T T"
Tc 0.000 0.000 0.000
Tc 6.567 2.924 2.924
Br 3.940 2.924 2.924
Na 4.597 0.203 3.126
Na 8.537 3.126 5.645
Na 4.597 5.645 2.721
Na 3.283 2.721 0.203
Br 2.627 0.000 0.000
```

The formation energy (no corrections) is 0.555 eV per atom. As for the total magnetization: 2.672 μB/f.u.

---

The following is a DFT calculation (meta-GGA SCAN) of a crystal of Y2NiMo relaxed with PBEsol.

Geometry as extended XYZ:
```
4
Lattice="3.170 0.101 0.000 -0.100 3.170 0.000 0.000 0.000 8.219" Properties=species:S:1:pos:R:3 pbc="T T T"
Mo 0.000 0.000 3.621
Ni 1.535 1.636 2.470
Y 1.535 1.636 5.695
Y 0.000 0.000 0.543
```

For the formation energy, the calculation gives 0.76 eV per formula unit. As for the total magnetization: 0.001 μB/f.u.

---

The following is a DFT calculation (meta-GGA SCAN) of a crystal of La2CrSi relaxed with PBEsol.

Geometry as extended XYZ:
```
4
Lattice="4.250 0.000 0.000 0.000 4.235 -0.029 0.000 -2.079 5.594" Properties=species:S:1:pos:R:3 pbc="T T T"
Si 0.000 0.284 2.797
La 2.125 2.396 1.887
La 0.000 -1.818 5.093
Cr 2.125 0.294 4.164
```

The formation energy (no corrections) is -0.328 eV per atom. As for the total magnetization: 3.490 μB/f.u.

---

The following is a DFT calculation (meta-GGA SCAN) of a crystal of POsPb relaxed with PBEsol.

Geometry as extended XYZ:
```
3
Lattice="4.355 0.000 0.000 2.177 3.771 0.000 2.177 1.257 3.556" Properties=species:S:1:pos:R:3 pbc="T T T"
Pb 4.355 2.514 1.778
Os 2.177 1.257 0.889
P 0.000 0.000 0.000
```

For the formation energy, the calculation gives 2.10 eV per formula unit. As for the total magnetization: 0.000 μB/f.u.

---

The following is a DFT calculation (meta-GGA SCAN) of a crystal of Tl2TcMo relaxed with PBEsol.

Geometry as extended XYZ:
```
4
Lattice="-2.088 -2.317 -0.051 2.666 -2.469 2.988 -2.405 2.082 3.866" Properties=species:S:1:pos:R:3 pbc="T T T"
Tc 0.130 -0.194 3.427
Tl -2.247 -0.117 1.907
Tl 0.000 0.000 0.000
Mo 0.289 -2.393 1.469
```

For the formation energy, the calculation gives 3.57 eV per formula unit. As for the total magnetization: 0.248 μB/f.u.

---

no.,final energy (eV/atom),ρ (g/cm3),V (A^3/atom)
1,-21.28,5.89,15.2
2,-13.15,3.96,18.2
3,-21.79,9.32,13.7
4,-15.18,4.14,22.5
5,-26.50,6.68,20.7
6,-28.98,5.92,25.1
7,-51.99,12.18,19.5
8,-52.77,13.62,18.4